(1)
SrLi2CuRh | PBE | optimized geometry

* space-group type: P4/mmm
* offset from the most stable computed form: 0.004 eV/atom

Cell: 4.5978 4.5978 4.8833 Å, 90.00 90.00 90.00°
Positions (direct):
Sr: 0.0000 0.0000 0.0000
Li: 0.0000 0.5000 0.5000
Li: 0.5000 0.0000 0.5000
Cu: 0.5000 0.5000 0.5000
Rh: 0.5000 0.5000 0.0000

=====

(2)
SrLi2CuRh | PBE | optimized geometry

* space-group type: P4/mmm
* offset from the most stable computed form: 0.000 eV/atom

Cell: 4.6770 4.6770 4.9035 Å, 90.00 90.00 90.00°
Positions (direct):
Sr: 0.0000 0.0000 0.0000
Li: 0.0000 0.5000 0.5000
Li: 0.5000 0.0000 0.5000
Cu: 0.5000 0.5000 0.0000
Rh: 0.5000 0.5000 0.5000

=====

(3)
LiTbCuRh | PBE | optimized geometry

* space-group type: F-43m
* E: -0.1763 hartree per atom

Cell: 4.6276 4.6276 4.6276 Å, 60.00 60.00 60.00°
Positions (direct):
Li: 0.0000 0.0000 0.0000
Tb: 0.5000 0.5000 0.5000
Cu: 0.7500 0.7500 0.7500
Rh: 0.2500 0.2500 0.2500

=====

(4)
LiThCuRh | PBE | optimized geometry

* space-group type: F-43m
* E: -0.2005 hartree per atom

Cell: 4.7648 4.7648 4.7648 Å, 60.00 60.00 60.00°
Positions (direct):
Li: 0.0000 0.0000 0.0000
Th: 0.5000 0.5000 0.5000
Cu: 0.7500 0.7500 0.7500
Rh: 0.2500 0.2500 0.2500

=====

(5)
LiTmCuRh | PBE | optimized geometry

* space-group type: F-43m
* E: -0.1770 hartree per atom

Cell: 4.5602 4.5602 4.5602 Å, 60.00 60.00 60.00°
Positions (direct):
Li: 0.0000 0.0000 0.0000
Tm: 0.5000 0.5000 0.5000
Cu: 0.2500 0.2500 0.2500
Rh: 0.7500 0.7500 0.7500

=====

(6)
Li2VCuRh | PBE | optimized geometry

* space-group type: P4/mmm
* E: -0.1532 hartree per atom

Cell: 3.9565 3.9565 4.7976 Å, 90.00 90.00 90.00°
Positions (direct):
Li: 0.0000 0.5000 0.0000
Li: 0.5000 0.0000 0.0000
V: 0.0000 0.0000 0.5000
Cu: 0.5000 0.5000 0.0000
Rh: 0.5000 0.5000 0.5000

=====

(7)
LiVCuRh | PBE | optimized geometry

* space-group type: F-43m
* E: -0.2094 hartree per atom

Cell: 4.1900 4.1900 4.1900 Å, 60.00 60.00 60.00°
Positions (direct):
Li: 0.0000 0.0000 0.0000
V: 0.5000 0.5000 0.5000
Cu: 0.7500 0.7500 0.7500
Rh: 0.2500 0.2500 0.2500

=====

(8)
Li2ZnCuRh | PBE | optimized geometry

* space-group type: Cmcm
* E: -0.1173 hartree per atom

Cell: 7.1617 7.1617 4.5300 Å, 90.00 90.00 143.37°
Positions (direct):
Li: 0.2465 0.2465 0.0000
Li: 0.2465 0.2465 0.5000
Li: 0.7535 0.7535 0.0000
Li: 0.7535 0.7535 0.5000
Zn: 0.2499 0.7501 0.7500
Zn: 0.7501 0.2499 0.2500
Cu: 0.3483 0.6517 0.2500
Cu: 0.6517 0.3483 0.7500
Rh: 0.1521 0.8479 0.2500
Rh: 0.8479 0.1521 0.7500

=====

(9)
Li2Zn4CuRh | PBE | optimized geometry

* space-group type: P2/m
* E: -0.1042 hartree per atom

Cell: 4.2026 4.2354 6.1328 Å, 90.00 90.36 90.00°
Positions (direct):
Li: 0.0000 0.0000 0.0000
Li: 0.5000 0.5000 0.5000
Zn: 0.0008 0.5000 0.2500
Zn: 0.4982 0.0000 0.2474
Zn: 0.5018 0.0000 0.7526
Zn: 0.9992 0.5000 0.7500
Cu: 0.5000 0.5000 0.0000
Rh: 0.0000 0.0000 0.5000

=====

(10)
LiZnCuRh | PBE | optimized geometry

* space-group type: Pmmm
* E: -0.1447 hartree per atom

Cell: 3.0893 4.0666 4.2271 Å, 90.00 90.00 90.00°
Positions (direct):
Li: 0.0000 0.0000 0.0000
Zn: 0.5000 0.0000 0.5000
Cu: 0.5000 0.5000 0.0000
Rh: 0.0000 0.5000 0.5000

=====

(11)
Li2CuRu | PBE | optimized geometry

* space-group type: I4/mmm
* offset from the most stable computed form: 0.210 eV/atom

Cell: 4.8434 4.8434 4.8434 Å, 136.73 136.73 62.85°
Positions (direct):
Li: 0.2500 0.7500 0.5000
Li: 0.7500 0.2500 0.5000
Cu: 0.0000 0.0000 0.0000
Ru: 0.5000 0.5000 0.0000

=====

(12)
LiCu3Ru | PBE | optimized geometry

* space-group type: Pm-3m
* offset from the most stable computed form: 0.210 eV/atom

Cell: 4.6821 4.6821 4.6821 Å, 90.00 90.00 90.00°
Positions (direct):
Li: 0.0000 0.0000 0.0000
Cu: 0.0000 0.5000 0.5000
Cu: 0.5000 0.0000 0.5000
Cu: 0.5000 0.5000 0.0000
Ru: 0.5000 0.5000 0.5000